[1]
# ZnMoS2N

ZnMoS2N after structural relaxation (PBE, Alexandria).

Structure (CIF):
```
data_ZnMoS2N
_chemical_formula_sum 'Zn1 Mo1 S2 N1'
_cell_length_a 4.720
_cell_length_b 4.720
_cell_length_c 3.557
_cell_angle_alpha 90.00
_cell_angle_beta 90.00
_cell_angle_gamma 90.00
_space_group_name_H-M_alt 'P 4/m m m'
_space_group_IT_number 123
_space_group_name_Hall '-P 4 2'
loop_
_atom_site_label
_atom_site_fract_x
_atom_site_fract_y
_atom_site_fract_z
Zn1 0.000 0.000 0.000
Mo1 0.500 0.500 0.500
S1 0.000 0.500 0.000
N1 0.000 0.000 0.500
```

- M_tot: 1.58 μB/cell
- Energy above the lowest structure with this stoichiometry: 5.447 eV/f.u.
- Energy relative to the elements, uncorrected: 6.330 eV/f.u.
- Raw total energy: -4.4710 eV/atom

[2]
# ZrMoSN2

ZrMoSN2 after structural relaxation (PBE, Alexandria).

Structure (CIF):
```
data_ZrMoSN2
_chemical_formula_sum 'Zr1 Mo1 S1 N2'
_cell_length_a 4.109
_cell_length_b 4.109
_cell_length_c 5.186
_cell_angle_alpha 90.00
_cell_angle_beta 90.00
_cell_angle_gamma 90.00
_space_group_name_H-M_alt 'P 4/m m m'
_space_group_IT_number 123
_space_group_name_Hall '-P 4 2'
loop_
_atom_site_label
_atom_site_fract_x
_atom_site_fract_y
_atom_site_fract_z
Zr1 0.000 0.000 0.000
Mo1 0.500 0.500 0.500
S1 0.000 0.000 0.500
N1 0.000 0.500 0.000
```

- M_tot: 2.93 μB/cell
- Energy above the lowest structure with this stoichiometry: 3.653 eV/f.u.
- Energy relative to the elements, uncorrected: 3.413 eV/f.u.
- Raw total energy: -7.3488 eV/atom

Which value of energy above the lowest structure with this stoichiometry does entry 2 give? 3.653 eV/f.u.